No. 1
VASP calculation (SCAN) on a crystal of Sr2ScTl relaxed with PBEsol.

The space group is Imm2 (No. 44) and the conventional cell measures 3.858, 5.775 and 12.149 Å, with angles of 90.00, 90.00 and 90.00 degrees. The inequivalent atoms are Sr at (0.000, 0.000, 0.000), Sr at (0.000, 0.500, 0.205), Sc at (0.000, 0.000, 0.417) and Tl at (0.000, 0.500, 0.736).

For the volume, the calculation gives 33.8 Å³ per atom. The energy above the most stable polymorph in this dataset is 0.0000 eV per atom.

=====

No. 2
VASP calculation (SCAN) on a crystal of Na2In2Pb relaxed with PBEsol.

The space group is P4/mbm (No. 127) and the conventional cell measures 8.318, 8.318 and 3.893 Å, with angles of 90.00, 90.00 and 90.00 degrees. The inequivalent atoms are Na at (0.174, 0.326, 0.000), In at (0.126, 0.626, 0.500) and Pb at (0.000, 0.000, 0.500).

For the volume, the calculation gives 26.9 Å³ per atom.

=====

No. 3
VASP calculation (SCAN) on a crystal of BTeS3 relaxed with PBEsol.

The space group is Pm-3m (No. 221) and the conventional cell measures 4.990, 4.990 and 4.990 Å, with angles of 90.00, 90.00 and 90.00 degrees. The inequivalent atoms are B at (0.000, 0.000, 0.000), Te at (0.500, 0.500, 0.500) and S at (0.000, 0.500, 0.500).

For the volume, the calculation gives 24.8 Å³ per atom. The energy above the most stable polymorph in this dataset is 0.8099 eV per atom.

=====

No. 4
VASP calculation (SCAN) on a crystal of BeRh2Pb relaxed with PBEsol.

The space group is Fm-3m (No. 225) and the conventional cell measures 6.147, 6.147 and 6.147 Å, with angles of 90.00, 90.00 and 90.00 degrees. The inequivalent atoms are Be at (0.000, 0.000, 0.000), Rh at (0.250, 0.250, 0.250) and Pb at (0.000, 0.000, 0.500).

For the volume, the calculation gives 14.5 Å³ per atom. The energy above the most stable polymorph in this dataset is 0.0583 eV per atom.

=====

No. 5
VASP calculation (SCAN) on a crystal of LiAg2PdPt relaxed with PBEsol.

The space group is P4/mmm (No. 123) and the conventional cell measures 4.979, 4.979 and 4.816 Å, with angles of 90.00, 90.00 and 90.00 degrees. The inequivalent atoms are Li at (0.000, 0.000, 0.000), Ag at (0.000, 0.500, 0.500), Pd at (0.500, 0.500, 0.500) and Pt at (0.500, 0.500, 0.000).

For the volume, the calculation gives 23.9 Å³ per atom.

=====

No. 6
VASP calculation (SCAN) on a crystal of LiAlSiH2O5 relaxed with PBEsol.

The space group is Pna2_1 (No. 33) and the conventional cell measures 11.263, 8.138 and 5.007 Å, with angles of 90.00, 90.00 and 90.00 degrees. The inequivalent atoms are Li at (0.114, 0.217, 0.000), Al at (0.140, 0.863, 0.885), Si at (0.219, 0.047, 0.419), H at (0.037, 0.637, 0.813), H at (0.121, 0.465, 0.148), O at (0.014, 0.752, 0.778), O at (0.141, 0.467, 0.958), O at (0.147, 0.932, 0.215), O at (0.159, 0.050, 0.714) and O at (0.240, 0.231, 0.302).

For the volume, the calculation gives 11.5 Å³ per atom.

=====

no.,E (eV/atom)
1,-32.96
2,-30.34
3,-13.27
4,-36.99
5,-32.96
6,-8.19